Entry 1:
The following is a DFT calculation (GGA-PBE) of a geometry-optimized AlInNi2 structure.

Lattice parameters (Å, degrees): 8.287 8.287 8.287 20.53 20.53 20.53
Atoms (fractional coordinates):
Al: 0.000 0.000 0.000
In: 0.231 0.231 0.231
Ni: 0.480 0.480 0.480
Ni: 0.738 0.738 0.738

The calculation puts the density of states at the Fermi level at 4.071 states/eV/f.u. For the formation energy, the calculation gives 119 meV per atom.

=====

Entry 2:
The following is a DFT calculation (GGA-PBE) of a geometry-optimized AlIn2Ni structure.

Lattice parameters (Å, degrees): 4.529 4.529 6.713 107.70 107.70 39.24
Atoms (fractional coordinates):
Al: 0.000 0.000 0.000
In: 0.185 0.185 0.659
In: 0.353 0.353 0.334
Ni: 0.717 0.717 0.994

The calculation puts the density of states at the Fermi level at 1.336 states/eV/f.u. For the formation energy, the calculation gives -74 meV per atom.

=====

Entry 3:
The following is a DFT calculation (GGA-PBE) of a geometry-optimized AlIn2Ni structure.

Lattice parameters (Å, degrees): 5.196 5.196 5.196 132.80 132.80 68.97
Atoms (fractional coordinates):
Al: 0.000 0.000 0.000
In: 0.250 0.750 0.500
In: 0.500 0.500 0.000
Ni: 0.750 0.250 0.500

The calculation puts the density of states at the Fermi level at 2.356 states/eV/f.u. For the formation energy, the calculation gives 164 meV per atom.

=====

Entry 4:
The following is a DFT calculation (GGA-PBE) of a geometry-optimized AlIn2Ni structure.

Lattice parameters (Å, degrees): 4.066 3.285 5.793 90.00 100.20 90.00
Atoms (fractional coordinates):
Al: 0.000 0.000 0.000
In: 0.455 0.500 0.739
In: 0.545 0.500 0.261
Ni: 0.000 0.000 0.500

The calculation puts the density of states at the Fermi level at 1.300 states/eV/f.u. For the formation energy, the calculation gives 133 meV per atom.